{
  "formula": "Tb3Nd8Mg",
  "functional": "PBE",
  "state": "relaxed",
  "total_energy_ev_per_cell": -47.334,
  "ef_ev_per_fu": 6.29,
  "volume_a3_per_atom": 36.6,
  "cell": [[7.610, -0.517, -3.634], [-4.457, 7.084, -1.159], [-0.325, 0.517, 8.427]],
  "species": ["Nd", "Nd", "Nd", "Nd", "Tb", "Tb", "Nd", "Mg", "Nd", "Nd", "Tb", "Nd"],
  "fractional_positions": [[0.000, 0.243, 0.742], [0.000, 0.742, 0.243], [0.000, 0.876, 0.622], [0.499, 0.757, 0.757], [0.500, 0.750, 0.250], [0.000, 0.500, 0.500], [0.254, 0.378, 0.378], [0.000, 0.000, 0.000], [0.746, 0.124, 0.124], [0.501, 0.258, 0.258], [0.500, 0.250, 0.750], [0.000, 0.622, 0.876]]
}


{
  "formula": "Tb12Nd5Mg2",
  "functional": "PBE",
  "state": "relaxed",
  "total_energy_ev_per_cell": -80.873,
  "ef_ev_per_fu": 1.72,
  "volume_a3_per_atom": 32.4,
  "cell": [[-4.781, -7.864, 1.134], [4.336, 1.188, -11.393], [3.860, -1.269, 7.474]],
  "species": ["Nd", "Mg", "Tb", "Tb", "Tb", "Tb", "Tb", "Tb", "Tb", "Tb", "Nd", "Nd", "Tb", "Tb", "Tb", "Tb", "Mg", "Nd", "Nd"],
  "fractional_positions": [[0.767, 0.534, 0.106], [0.666, 0.000, 0.000], [0.674, 0.711, 0.949], [0.326, 0.289, 0.051], [0.963, 0.289, 0.051], [0.557, 0.113, 0.778], [0.443, 0.887, 0.222], [0.564, 0.745, 0.422], [0.181, 0.745, 0.422], [0.925, 0.850, 0.728], [0.000, 0.000, 0.500], [0.233, 0.466, 0.894], [0.436, 0.255, 0.578], [0.819, 0.255, 0.578], [0.037, 0.711, 0.949], [0.075, 0.150, 0.272], [0.334, 0.000, 0.000], [0.293, 0.586, 0.609], [0.707, 0.414, 0.391]]
}


{
  "formula": "Tb5Nd8Mg",
  "functional": "PBE",
  "state": "relaxed",
  "total_energy_ev_per_cell": -59.652,
  "ef_ev_per_fu": 3.24,
  "volume_a3_per_atom": 34.7,
  "cell": [[7.932, 0.000, -3.363], [-3.657, 7.349, -2.615], [-0.619, 0.000, 8.593]],
  "species": ["Nd", "Tb", "Tb", "Nd", "Tb", "Nd", "Nd", "Nd", "Nd", "Tb", "Nd", "Nd", "Mg", "Tb"],
  "fractional_positions": [[0.091, 0.663, 0.423], [0.756, 0.776, 0.726], [0.274, 0.030, 0.050], [0.567, 0.928, 0.965], [0.950, 0.224, 0.980], [0.760, 0.337, 0.428], [0.037, 0.072, 0.639], [0.361, 0.398, 0.433], [0.035, 0.602, 0.963], [0.020, 0.970, 0.244], [0.572, 0.332, 0.909], [0.577, 0.668, 0.240], [0.250, 0.500, 0.750], [0.500, 0.000, 0.500]]
}